The following is a GGA-PBE calculation of crystalline Pr2CrN4 at its relaxed geometry, from the Alexandria database.

Results
- raw formation energy (eV/atom) = -0.816
- ΔE to the lowest computed polymorph (meV per atom) = 256

a b c (Å): 3.760 3.760 6.960
angles (deg): 74.33 74.33 90.00
Site moments in Bohr magnetons follow the coordinates.
Fractional positions:
N: 0.164 0.164 0.673  0.01
N: 0.000 0.500 0.000  0.06
N: 0.836 0.836 0.327  0.01
N: 0.500 0.000 0.000  0.06
Pr: 0.646 0.646 0.709  0.00
Pr: 0.354 0.354 0.291  0.00
Cr: 0.000 0.000 0.000  -0.25